DFT (PBE) results for crystalline Nd2ZnSi3Pt4 at its relaxed geometry.

For the uncorrected formation energy, the calculation gives -1.049 eV/atom. Its total DFT energy (no corrections) is -6.173 eV per atom. The value obtained for the total magnetization is 0.0000 μB/atom.

It has space group P-4m2 (No. 115), with a = 4.286 Å, b = 4.286 Å, c = 9.968 Å, α = 90.00°, β = 90.00° and γ = 90.00°. The inequivalent atoms are Nd at (0.000, 0.500, 0.246), Zn at (0.500, 0.500, 0.000), Si at (0.000, 0.000, 0.000), Si at (0.000, 0.500, 0.628), Pt at (0.000, 0.000, 0.500), Pt at (0.000, 0.500, 0.867) and Pt at (0.500, 0.500, 0.500).



DFT (PBE) results for crystalline PW at its relaxed geometry.

Its total DFT energy (no corrections) is -8.820 eV per atom. The value obtained for the total magnetization is 0.0000 μB/atom. The energy of formation from the pure elements comes out at 0.3613 eV per atom.

It has space group I4_1/amd (No. 141, origin choice 2), with a = 3.949 Å, b = 3.949 Å, c = 7.481 Å, α = 90.00°, β = 90.00° and γ = 90.00°. The inequivalent atoms are P at (0.000, 0.250, 0.375) and W at (0.000, 0.250, 0.875).



DFT (PBE) results for crystalline LaZn8Ag2 at its relaxed geometry.

Its total DFT energy (no corrections) is -1.716 eV per atom. The value obtained for the total magnetization is 0.0000 μB/atom. The energy of formation from the pure elements comes out at 0.1767 eV per atom.

It has space group P4/mmm (No. 123), with a = 5.172 Å, b = 5.172 Å, c = 9.353 Å, α = 90.00°, β = 90.00° and γ = 90.00°. The inequivalent atoms are La at (0.000, 0.000, 0.000), Zn at (0.252, 0.252, 0.277) and Ag at (0.000, 0.500, 0.500).



DFT (PBE) results for crystalline BaSiRh2 at its relaxed geometry.

For the uncorrected formation energy, the calculation gives -0.106 eV/atom. Its total DFT energy (no corrections) is -5.618 eV per atom. The value obtained for the total magnetization is 0.0000 μB/atom.

It has space group Pmm2 (No. 25), with a = 3.061 Å, b = 3.776 Å, c = 6.942 Å, α = 90.00°, β = 90.00° and γ = 90.00°. The inequivalent atoms are Ba at (0.000, 0.000, 0.000), Si at (0.500, 0.500, 0.623), Rh at (0.000, 0.000, 0.529) and Rh at (0.500, 0.500, 0.290).



DFT (PBE) results for crystalline Y4Er2ThSc at its relaxed geometry.

Its total DFT energy (no corrections) is -6.042 eV per atom. The value obtained for the total magnetization is 0.0000 μB/atom. The energy of formation from the pure elements comes out at 0.0495 eV per atom.

It has space group Pmmm (No. 47), with a = 4.963 Å, b = 4.983 Å, c = 9.995 Å, α = 90.00°, β = 90.00° and γ = 90.00°. The inequivalent atoms are Y at (0.000, 0.000, 0.247), Y at (0.500, 0.500, 0.247), Er at (0.000, 0.500, 0.000), Er at (0.500, 0.000, 0.500), Th at (0.000, 0.500, 0.500) and Sc at (0.500, 0.000, 0.000).